[1]
DFT (PBE) results for a geometry-optimized ZrAlHg4 structure.

Summary:
As for the total energy: -1.8594 eV/atom. The formation energy is 390 meV per atom. The value obtained for the density of states at the Fermi level is 5.3 states/eV/cell.

Cell and atoms, written as CIF:
```
data_ZrAlHg4
_symmetry_space_group_name_H-M 'P 1'
_symmetry_Int_Tables_number 1
_cell_length_a 5.8283
_cell_length_b 5.8283
_cell_length_c 5.8283
_cell_angle_alpha 60.00
_cell_angle_beta 60.00
_cell_angle_gamma 60.00
loop_
_symmetry_equiv_pos_as_xyz
'x,y,z'
loop_
_atom_site_label
_atom_site_fract_x
_atom_site_fract_y
_atom_site_fract_z
Zr1 0.0000 0.0000 0.0000
Al1 0.7500 0.7500 0.7500
Hg1 0.3748 0.3748 0.3748
Hg2 0.3748 0.3748 0.8756
Hg3 0.3748 0.8756 0.3748
Hg4 0.8756 0.3748 0.3748
```

[2]
DFT (PBE) results for a geometry-optimized Ho3Er2Tm2 structure.

Summary:
As for the total energy: -4.5194 eV/atom. The formation energy is 24 meV per atom. Its offset from the most stable computed form is 0.000 eV per atom. The value obtained for the density of states at the Fermi level is 9.6 states/eV/cell.

Cell and atoms, written as CIF:
```
data_Ho3Er2Tm2
_symmetry_space_group_name_H-M 'P 1'
_symmetry_Int_Tables_number 1
_cell_length_a 6.0624
_cell_length_b 6.0624
_cell_length_c 10.5160
_cell_angle_alpha 95.65
_cell_angle_beta 95.65
_cell_angle_gamma 33.51
loop_
_symmetry_equiv_pos_as_xyz
'x,y,z'
loop_
_atom_site_label
_atom_site_fract_x
_atom_site_fract_y
_atom_site_fract_z
Ho1 0.0000 0.0000 0.0000
Ho2 0.1427 0.1427 0.5713
Ho3 0.8573 0.8573 0.4287
Er1 0.2854 0.2854 0.1428
Er2 0.7146 0.7146 0.8572
Tm1 0.4286 0.4286 0.7142
Tm2 0.5714 0.5714 0.2858
```